FeP3Rh | PBE-GGA | optimized geometry

Values from the calculation:
- energy (eV per atom) = -5.8713
- N(E_F) (states/eV/atom) = 0.59
- energy of formation from the pure elements (eV per atom) = 0.537
- V (Å³ per atom) = 15.58

Cell: 4.2705 4.2705 4.2705 Å, 90.00 90.00 90.00°
With the nearest neighbours (Å) after each atom.
Space group Pm-3m (No. 221)
Unique sites:
Fe  0.0000  0.0000  0.0000 (multiplicity 1)  6 P 2.14
P  0.0000  0.0000  0.5000 (multiplicity 3)  2 Fe 2.14
Rh  0.5000  0.5000  0.5000 (multiplicity 1)  12 P 3.02



Cs3AgHg2F9 | PBE-GGA | optimized geometry

Values from the calculation:
- energy (eV per atom) = -3.4733
- N(E_F) (states/eV/atom) = 0.29
- energy relative to the elements, uncorrected (eV per atom) = -1.95
- V (Å³ per atom) = 19.67

Cell: 6.5253 6.5253 8.0012 Å, 90.00 90.00 120.00°
With the nearest neighbours (Å) after each atom.
Space group P-3m1 (No. 164)
Unique sites:
Cs  0.0000  0.0000  0.0000 (multiplicity 1)  12 F 3.26-3.27
Cs  0.3333  0.6667  0.6645 (multiplicity 2)  12 F 3.25-3.28
Ag  0.0000  0.0000  0.5000 (multiplicity 1)  6 F 2.28
Hg  0.3333  0.6667  0.1715 (multiplicity 2)  6 F 2.31-2.33
F  0.0000  0.5000  0.0000 (multiplicity 3)  2 Hg 2.33
F  0.1651  0.3302  0.3358 (multiplicity 6)  1 Ag 2.28, 1 Hg 2.31



NdDyNi10 | PBE-GGA | optimized geometry

Values from the calculation:
- energy (eV per atom) = -5.9005
- N(E_F) (states/eV/atom) = 1.14
- energy of formation from the pure elements (eV per atom) = -0.302
- V (Å³ per atom) = 13.84

Cell: 3.9610 4.9223 8.5177 Å, 90.00 90.00 90.00°
With the nearest neighbours (Å) after each atom.
Space group Pmmm (No. 47)
Unique sites:
Nd  0.0000  0.0000  0.0000 (multiplicity 1)  18 Ni 2.86-3.18
Dy  0.0000  0.5000  0.5000 (multiplicity 1)  14 Ni 2.80-3.13
Ni  0.0000  0.0000  0.3371 (multiplicity 2)  6 Ni 2.42-2.44
Ni  0.0000  0.5000  0.1707 (multiplicity 2)  6 Ni 2.43-2.46
Ni  0.5000  0.0000  0.5000 (multiplicity 1)  8 Ni 2.42-2.44
Ni  0.5000  0.2519  0.2536 (multiplicity 4)  8 Ni 2.43-2.48
Ni  0.5000  0.5000  0.0000 (multiplicity 1)  8 Ni 2.46-2.48



AcNi5P4 | PBE-GGA | optimized geometry

Values from the calculation:
- energy (eV per atom) = -5.7000
- N(E_F) (states/eV/atom) = 0.66
- energy of formation from the pure elements (eV per atom) = -0.235
- V (Å³ per atom) = 16.13

Cell: 8.0837 8.0837 4.9358 Å, 90.00 90.00 90.00°
With the nearest neighbours (Å) after each atom.
Space group P4/nmm (No. 129, origin choice 2)
Unique sites:
Ac  0.2500  0.7500  0.0000 (multiplicity 2)  8 Ni 3.12, 8 P 3.16-3.33
Ni  0.0050  0.0050  0.2555 (multiplicity 8)  4 P 2.34-2.38, 2 Ni 2.42-2.53
Ni  0.2500  0.2500  0.2995 (multiplicity 2)  4 P 2.22
P  0.0107  0.2500  0.5219 (multiplicity 8)  5 Ni 2.22-2.38



HgGe | PBE-GGA | optimized geometry

Values from the calculation:
- energy (eV per atom) = -2.2040
- N(E_F) (states/eV/atom) = 0.43
- energy of formation from the pure elements (eV per atom) = 0.256
- V (Å³ per atom) = 30.65

Cell: 3.9323 11.1059 8.4219 Å, 90.00 90.00 90.00°
With the nearest neighbours (Å) after each atom.
Space group Pmmn (No. 59, origin choice 2)
Unique sites:
Hg  0.2500  0.0852  0.1496 (multiplicity 4)  2 Ge 2.64
Hg  0.2500  0.7500  0.3098 (multiplicity 2)  4 Ge 2.64-2.78
Ge  0.2500  0.2500  0.9242 (multiplicity 2)  4 Hg 2.64-2.78
Ge  0.2500  0.5286  0.4245 (multiplicity 4)  2 Ge 2.43, 2 Hg 2.64



Th3AlPd2 | PBE-GGA | optimized geometry

Values from the calculation:
- energy (eV per atom) = -6.4805
- N(E_F) (states/eV/atom) = 1.00
- energy of formation from the pure elements (eV per atom) = -0.416
- V (Å³ per atom) = 26.62

Cell: 8.2090 8.2090 16.4227 Å, 90.00 90.00 120.00°
With the nearest neighbours (Å) after each atom.
Space group R-3c (No. 167, hexagonal axes)
Unique sites:
Th  0.0000  0.3153  0.2500 (multiplicity 18)  4 Pd 2.99-3.08, 2 Al 3.13
Al  0.0000  0.0000  0.0000 (multiplicity 6)  2 Pd 2.61
Pd  0.0000  0.0000  0.1592 (multiplicity 12)  1 Al 2.61